[1]
This record from Alexandria via LeMat-Bulk describes a crystal of MgGa2ReO relaxed with PBEsol. The functional is SCAN.

Output
Crystal system = tetragonal
Density of states at the Fermi level = 0.717 states/eV/atom
E_form (uncorrected) = 9.488 eV per formula unit

a = 4.8447 Å, b = 4.8447 Å, c = 4.7588 Å
α = 90.00°, β = 90.00°, γ = 90.00°
Closest atoms and distances in Å follow each position.
Space group P4/mmm (No. 123)
Symmetry-distinct sites (fractional):
1 Mg 0.0000 0.0000 0.0000 [1 per cell]  2 Re 2.38, 4 Ga 2.42
2 Ga 0.0000 0.5000 0.0000 [2 per cell]  2 Mg 2.42
3 Re 0.0000 0.0000 0.5000 [1 per cell]  2 Mg 2.38
4 O 0.5000 0.5000 0.5000 [1 per cell]  8 Ga 3.40, 4 Re 3.43

[2]
This record from Alexandria via LeMat-Bulk describes a crystal of Li2TiV3O8 relaxed with PBEsol. The functional is SCAN.

Output
Crystal system = hexagonal
Density of states at the Fermi level = 0.203 states/eV/atom
Offset from the most stable computed form = 1.1 meV/atom
E_form (uncorrected) = -38.674 eV per formula unit

a = 5.7324 Å, b = 5.7324 Å, c = 9.4871 Å
α = 90.00°, β = 90.00°, γ = 120.00°
Closest atoms and distances in Å follow each position.
Space group P6_3mc (No. 186)
Symmetry-distinct sites (fractional):
1 Li 0.0000 0.0000 0.0000 [2 per cell]  4 O 1.80-1.94
2 Li 0.3333 0.6667 0.1018 [2 per cell]  4 O 1.89-1.91
3 Ti 0.3333 0.6667 0.4985 [2 per cell]  6 O 1.93-2.06
4 V 0.1763 0.3526 0.7786 [6 per cell]  6 O 1.94-2.02
5 O 0.0000 0.0000 0.1892 [2 per cell]  1 Li 1.80, 3 V 1.95
6 O 0.0357 0.5179 0.6503 [6 per cell]  1 Li 1.89, 2 V 1.95, 1 Ti 2.06
7 O 0.1671 0.3342 0.3933 [6 per cell]  1 Ti 1.93, 1 Li 1.94, 2 V 2.02
8 O 0.3333 0.6667 0.8999 [2 per cell]  1 Li 1.91, 3 V 1.94

[3]
This record from Alexandria via LeMat-Bulk describes a crystal of Sr2LiZn2 relaxed with PBEsol. The functional is SCAN.

Output
Crystal system = tetragonal
Density of states at the Fermi level = 0.765 states/eV/atom
Calculated formation energy = -0.15 eV per atom

a = 8.0806 Å, b = 8.0806 Å, c = 4.4491 Å
α = 90.00°, β = 90.00°, γ = 90.00°
Closest atoms and distances in Å follow each position.
Space group P4/mbm (No. 127)
Symmetry-distinct sites (fractional):
1 Sr 0.1799 0.3201 0.0000 [4 per cell]  6 Zn 3.25-3.29
2 Li 0.0000 0.0000 0.5000 [2 per cell]  4 Zn 3.26
3 Zn 0.1132 0.6132 0.5000 [4 per cell]  1 Zn 2.59

[4]
This record from Alexandria via LeMat-Bulk describes a crystal of CrRe3Hg relaxed with PBEsol. The functional is SCAN.

Output
Crystal system = cubic
Density of states at the Fermi level = 1.402 states/eV/atom
Calculated formation energy = 3.41 eV per atom

a = 4.8070 Å, b = 4.8070 Å, c = 4.8070 Å
α = 90.00°, β = 90.00°, γ = 90.00°
Closest atoms and distances in Å follow each position.
Space group Pm-3m (No. 221)
Symmetry-distinct sites (fractional):
1 Cr 0.0000 0.0000 0.0000 [1 per cell]  12 Re 3.40
2 Re 0.0000 0.5000 0.5000 [3 per cell]  2 Hg 2.40
3 Hg 0.5000 0.5000 0.5000 [1 per cell]  6 Re 2.40

[5]
This record from Alexandria via LeMat-Bulk describes a crystal of ScMnO3 relaxed with PBEsol. The functional is SCAN.

Output
Crystal system = hexagonal
Density of states at the Fermi level = 0.036 states/eV/atom
E_form (uncorrected) = -15.231 eV per formula unit

a = 5.7935 Å, b = 5.7935 Å, c = 11.1617 Å
α = 90.00°, β = 90.00°, γ = 120.00°
Closest atoms and distances in Å follow each position.
Space group P6_3cm (No. 185)
Symmetry-distinct sites (fractional):
1 Sc 0.0000 0.0000 0.0000 [2 per cell]  7 O 2.13-2.20
2 Sc 0.3333 0.6667 0.0472 [4 per cell]  7 O 2.14-2.30
3 Mn 0.0000 0.3333 0.2767 [6 per cell]  5 O 1.87-1.96
4 O 0.0000 0.0000 0.3052 [2 per cell]  3 Mn 1.96, 1 Sc 2.17
5 O 0.0000 0.3030 0.1089 [6 per cell]  1 Mn 1.88
6 O 0.0000 0.3639 0.4436 [6 per cell]  1 Mn 1.87
7 O 0.3333 0.6667 0.2532 [4 per cell]  3 Mn 1.95

[6]
This record from Alexandria via LeMat-Bulk describes a crystal of NiH20S2N2O14 relaxed with PBEsol. The functional is SCAN.

Output
Crystal system = monoclinic
Density of states at the Fermi level = 0.000 states/eV/atom

a = 6.3679 Å, b = 12.3539 Å, c = 8.8037 Å
α = 90.00°, β = 107.63°, γ = 90.00°
Closest atoms and distances in Å follow each position.
Space group P2_1/c (No. 14)
Symmetry-distinct sites (fractional):
1 Ni 0.0000 0.0000 0.0000 [2 per cell]  6 O 2.02-2.08
2 H 0.0309 0.1933 0.1297 [4 per cell]  1 O 1.00
3 H 0.0790 0.6188 0.7663 [4 per cell]  1 O 1.00
4 H 0.0823 0.1003 0.2661 [4 per cell]  1 O 1.01
5 H 0.2027 0.6767 0.1039 [4 per cell]  1 N 1.03
6 H 0.3076 0.5874 0.7351 [4 per cell]  1 O 1.00
7 H 0.3087 0.0687 0.8828 [4 per cell]  1 O 1.01
8 H 0.3573 0.5342 0.4841 [4 per cell]  1 O 0.98
9 H 0.3851 0.5760 0.1784 [4 per cell]  1 N 1.05
10 H 0.4309 0.7018 0.2645 [4 per cell]  1 N 1.05
11 H 0.4543 0.6825 0.0779 [4 per cell]  1 N 1.05
12 S 0.2740 0.1323 0.5784 [4 per cell]  4 O 1.47-1.51
13 N 0.3676 0.6594 0.1574 [4 per cell]  4 H 1.03-1.05
14 O 0.0138 0.6195 0.3446 [4 per cell]  2 H 1.00-1.01
15 O 0.0662 0.1744 0.6023 [4 per cell]  1 S 1.50
16 O 0.1509 0.6073 0.6816 [4 per cell]  2 H 1.00
17 O 0.2250 0.0595 0.4396 [4 per cell]  1 S 1.47, 1 H 1.60
18 O 0.3024 0.0398 0.9886 [4 per cell]  2 H 0.98-1.01
19 O 0.3983 0.0693 0.7246 [4 per cell]  1 S 1.51, 1 H 1.66
20 O 0.4151 0.2237 0.5588 [4 per cell]  1 S 1.49

[7]
This record from Alexandria via LeMat-Bulk describes a crystal of RbAgGe2 relaxed with PBEsol. The functional is SCAN.

Output
Crystal system = cubic
Density of states at the Fermi level = 0.337 states/eV/atom
Calculated formation energy = 0.54 eV per atom

a = 7.0693 Å, b = 7.0693 Å, c = 7.0693 Å
α = 90.00°, β = 90.00°, γ = 90.00°
Closest atoms and distances in Å follow each position.
Space group Fm-3m (No. 225)
Symmetry-distinct sites (fractional):
1 Rb 0.0000 0.0000 0.0000 [4 per cell]  8 Ge 3.06
2 Ag 0.0000 0.0000 0.5000 [4 per cell]  8 Ge 3.06
3 Ge 0.2500 0.2500 0.2500 [8 per cell]  4 Rb 3.06, 4 Ag 3.06

[8]
This record from Alexandria via LeMat-Bulk describes a crystal of Mn3CrP6O24 relaxed with PBEsol. The functional is SCAN.

Output
Crystal system = trigonal
E_form (uncorrected) = -74.350 eV per formula unit

a = 8.1082 Å, b = 8.1082 Å, c = 21.3264 Å
α = 90.00°, β = 90.00°, γ = 120.00°
Closest atoms and distances in Å follow each position.
Space group R3 (No. 146, hexagonal axes)
Symmetry-distinct sites (fractional):
1 Mn 0.0000 0.0000 0.0000 [3 per cell]  6 O 1.84-1.85
2 Mn 0.0000 0.0000 0.2159 [3 per cell]  6 O 1.87-1.88
3 Mn 0.0000 0.0000 0.5078 [3 per cell]  6 O 1.85-1.89
4 Cr 0.0000 0.0000 0.7214 [3 per cell]  6 O 1.79-1.83
5 P 0.0002 0.7226 0.1118 [9 per cell]  4 O 1.52-1.56
6 P 0.0021 0.2850 0.6093 [9 per cell]  4 O 1.53-1.56
7 O 0.9997 0.1841 0.6717 [9 per cell]  1 P 1.56
8 O 0.0022 0.8119 0.0487 [9 per cell]  1 P 1.53
9 O 0.0274 0.1951 0.9486 [9 per cell]  1 P 1.53
10 O 0.0847 0.2159 0.5569 [9 per cell]  1 P 1.54
11 O 0.0902 0.2215 0.2651 [9 per cell]  1 P 1.53
12 O 0.1606 0.6798 0.4371 [9 per cell]  1 P 1.56
13 O 0.1976 0.7495 0.1235 [9 per cell]  1 P 1.52
14 O 0.2032 0.7523 0.8316 [9 per cell]  1 P 1.54

[9]
This record from Alexandria via LeMat-Bulk describes a crystal of CuSbMo2 relaxed with PBEsol. The functional is SCAN.

Output
Crystal system = tetragonal
Density of states at the Fermi level = 0.572 states/eV/atom
E_form (uncorrected) = 1.234 eV per formula unit

a = 4.0195 Å, b = 4.0195 Å, c = 7.6980 Å
α = 90.00°, β = 90.00°, γ = 90.00°
Closest atoms and distances in Å follow each position.
Space group I-4m2 (No. 119)
Symmetry-distinct sites (fractional):
1 Cu 0.0000 0.0000 0.0000 [2 per cell]  8 Mo 2.78-2.84, 4 Sb 2.78
2 Sb 0.0000 0.5000 0.7500 [2 per cell]  8 Mo 2.78-2.84, 4 Cu 2.78
3 Mo 0.0000 0.0000 0.5000 [2 per cell]  4 Mo 2.78, 4 Sb 2.78, 4 Cu 2.84
4 Mo 0.0000 0.5000 0.2500 [2 per cell]  4 Mo 2.78, 4 Cu 2.78, 4 Sb 2.84

[10]
This record from Alexandria via LeMat-Bulk describes a crystal of Ba3In relaxed with PBEsol. The functional is SCAN.

Output
Crystal system = hexagonal
Density of states at the Fermi level = 0.952 states/eV/atom
Calculated formation energy = -0.28 eV per atom

a = 8.0337 Å, b = 8.0337 Å, c = 6.0257 Å
α = 90.00°, β = 90.00°, γ = 120.00°
Closest atoms and distances in Å follow each position.
Space group P6_3/mmc (No. 194)
Symmetry-distinct sites (fractional):
1 Ba 0.1789 0.3578 0.2500 [6 per cell]  4 In 3.70-4.02, 6 Ba 3.72-3.91
2 In 0.3333 0.6667 0.7500 [2 per cell]  12 Ba 3.70-4.02

Computed values of spin magnetization (unit: Bohr magnetons per cell) for the preceding records, in sequence: 4.0 10.0 0.0 1.2 24.0 3.9 0.0 27.5 0.0 1.0.
Computed values of total energy (unit: eV/atom) for the preceding records, in sequence: -21.101 -11.557 -14.941 -56.557 -13.283 -6.478 -22.034 -10.572 -30.249 -38.290.